{"formula": "CdInGa", "functional": "PBE", "state": "relaxed", "total_magnetization_mub_per_cell": 0.0, "e_tot_ev_per_cell": -13.1, "e_form_ev_per_atom": 0.044, "cell": [[-11.055, 0.663, 0.390], [-0.369, -4.072, -1.152], [-0.885, -0.878, 2.832]], "species": ["Ga", "Cd", "Ga", "Cd", "In", "In"], "fractional_positions": [[0.364, 0.484, 0.076], [0.848, 0.986, 0.111], [0.495, 0.986, 0.459], [0.012, 0.484, 0.434], [0.666, 0.487, 0.802], [0.194, 0.982, 0.739]]}